Record 1
# RbPa6Te8

RbPa6Te8 after structural relaxation (PBE, the Alexandria database).

Lattice parameters (Å, degrees): 8.218 8.218 8.218 91.21 91.21 91.21
Each line ends with the local moment (μB).
Sites, in units of the cell vectors:
Rb 0.000 0.000 0.000  0.00
Pa 0.409 0.754 0.539  0.52
Pa 0.539 0.409 0.754  0.52
Pa 0.591 0.246 0.461  0.52
Pa 0.461 0.591 0.246  0.52
Pa 0.754 0.539 0.409  0.52
Pa 0.246 0.461 0.591  0.52
Te 0.280 0.643 0.920  -0.02
Te 0.720 0.357 0.080  -0.02
Te 0.643 0.920 0.280  -0.02
Te 0.357 0.080 0.720  -0.02
Te 0.920 0.280 0.643  -0.02
Te 0.269 0.269 0.269  -0.02
Te 0.731 0.731 0.731  -0.02
Te 0.080 0.720 0.357  -0.02

Calculated values
**Total magnetic moment**: 3.16 μB/f.u.
**D(E_F)**: 12.53 states/eV/f.u.
**Raw formation energy**: -0.6098 eV/atom
**Crystal system**: trigonal



Record 2
# Nb4Sn2H

Nb4Sn2H after structural relaxation (PBE, the Alexandria database).

Lattice parameters (Å, degrees): 3.256 7.321 10.423 90.00 90.00 90.00
Sites, in units of the cell vectors:
Sn 0.500 0.068 0.129
Sn 0.500 0.568 0.371
Sn 0.500 0.932 0.871
Sn 0.500 0.432 0.629
Nb 0.000 0.617 0.813
Nb 0.500 0.658 0.083
Nb 0.000 0.383 0.187
Nb 0.000 0.883 0.313
Nb 0.500 0.342 0.917
Nb 0.000 0.117 0.687
Nb 0.500 0.842 0.583
Nb 0.500 0.158 0.417
H 0.000 0.000 0.500
H 0.000 0.500 0.000

Calculated values
**Total magnetic moment**: 0.00 μB/f.u.
**D(E_F)**: 5.87 states/eV/f.u.
**E**: -103.42 eV/cell
**Crystal system**: orthorhombic



Record 3
# Tb2Ho3Tm6Zr

Tb2Ho3Tm6Zr after structural relaxation (PBE, the Alexandria database).

Lattice parameters (Å, degrees): 6.025 6.025 11.516 94.99 94.99 119.93
Sites, in units of the cell vectors:
Tm 0.082 0.409 0.246
Tm 0.918 0.591 0.754
Tm 0.755 0.755 0.245
Tm 0.245 0.245 0.755
Tm 0.409 0.082 0.246
Tm 0.591 0.918 0.754
Ho 0.500 0.500 0.500
Ho 0.166 0.834 0.500
Ho 0.834 0.166 0.500
Tb 0.667 0.333 0.000
Tb 0.333 0.667 0.000
Zr 0.000 0.000 0.000

Calculated values
**Total magnetic moment**: 0.00 μB/f.u.
**D(E_F)**: 15.36 states/eV/f.u.
**Crystal system**: monoclinic
**Calculated formation energy**: 0.0443 eV per atom



> Number 3 is which compound?

Tb2Ho3Tm6Zr